## i
Entry from the Alexandria database: a geometry-optimized CaSnS3 structure (GGA-PBEsol).

```
data_CaSnS3
_chemical_formula_sum 'Ca6 Sn6 S18'
_space_group_name_H-M_alt 'R -3'
_space_group_IT_number 148
_space_group_name_Hall '-R 3'
_cell_length_a 6.6498
_cell_length_b 6.6498
_cell_length_c 18.4139
_cell_angle_alpha 90.00
_cell_angle_beta 90.00
_cell_angle_gamma 120.00
loop_
_atom_site_label
_atom_site_type_symbol
_atom_site_fract_x
_atom_site_fract_y
_atom_site_fract_z
Ca1 Ca 0.0000 0.0000 0.1418
Sn1 Sn 0.0000 0.0000 0.3428
S1 S 0.0186 0.3839 0.9203
```



## ii
Entry from the Alexandria database: a geometry-optimized CaSnS3 structure (GGA-PBEsol).

```
data_CaSnS3
_chemical_formula_sum 'Ca32 Sn32 S96'
_space_group_name_H-M_alt 'I 41/a'
_space_group_IT_number 88
_cell_length_a 15.770
_cell_length_b 15.770
_cell_length_c 15.626
_cell_angle_alpha 90.00
_cell_angle_beta 90.00
_cell_angle_gamma 90.00
loop_
_space_group_symop_operation_xyz
'x,y,z'
'-x,-y,-z'
'-y+3/4,x+1/4,z+1/4'
'y+3/4,-x+1/4,-z+1/4'
'-x+1/2,-y,z+1/2'
'x+1/2,y,-z+1/2'
'y+3/4,-x+3/4,z+3/4'
'-y+3/4,x+3/4,-z+3/4'
'x+1/2,y+1/2,z+1/2'
'-x+1/2,-y+1/2,-z+1/2'
'-y+1/4,x+3/4,z+3/4'
'y+1/4,-x+3/4,-z+3/4'
'-x,-y+1/2,z'
'x,y+1/2,-z'
'y+1/4,-x+1/4,z+1/4'
'-y+1/4,x+1/4,-z+1/4'
loop_
_atom_site_label
_atom_site_type_symbol
_atom_site_fract_x
_atom_site_fract_y
_atom_site_fract_z
Ca1 Ca 0.000 0.000 0.000
Ca2 Ca 0.000 0.250 0.370
Ca3 Ca 0.124 0.496 0.246
Sn1 Sn 0.000 0.000 0.500
Sn2 Sn 0.000 0.250 0.125
Sn3 Sn 0.000 0.250 0.625
Sn4 Sn 0.126 0.492 0.749
S1 S 0.023 0.431 0.840
S2 S 0.030 0.061 0.352
S3 S 0.060 0.351 0.525
S4 S 0.068 0.158 0.025
S5 S 0.146 0.021 0.566
S6 S 0.162 0.474 0.062
```



## iii
Entry from the Alexandria database: a geometry-optimized CaSnS3 structure (GGA-PBEsol).

```
data_CaSnS3
_chemical_formula_sum 'Ca4 Sn4 S12'
_space_group_name_H-M_alt 'P n m a'
_space_group_IT_number 62
_space_group_name_Hall '-P 2ac 2n'
_cell_length_a 7.936
_cell_length_b 3.801
_cell_length_c 13.781
_cell_angle_alpha 90.00
_cell_angle_beta 90.00
_cell_angle_gamma 90.00
loop_
_atom_site_label
_atom_site_type_symbol
_atom_site_fract_x
_atom_site_fract_y
_atom_site_fract_z
Ca1 Ca 0.080 0.250 0.180
Sn1 Sn 0.176 0.750 0.439
S1 S 0.030 0.750 0.610
S2 S 0.140 0.750 0.005
S3 S 0.191 0.250 0.778
```



## iv
Entry from the Alexandria database: a geometry-optimized CaSnS3 structure (GGA-PBEsol).

```
data_CaSnS3
_chemical_formula_sum 'Ca1 Sn1 S3'
_space_group_name_H-M_alt 'P 4 m m'
_space_group_IT_number 99
_space_group_name_Hall 'P 4 -2'
_cell_length_a 4.602
_cell_length_b 4.602
_cell_length_c 6.052
_cell_angle_alpha 90.00
_cell_angle_beta 90.00
_cell_angle_gamma 90.00
loop_
_atom_site_label
_atom_site_type_symbol
_atom_site_fract_x
_atom_site_fract_y
_atom_site_fract_z
Ca1 Ca 0.000 0.000 0.000
Sn1 Sn 0.500 0.500 0.442
S1 S 0.000 0.500 0.269
S2 S 0.500 0.500 0.832
```



Q: Which of them is the least stable? A: iv.



## i
Entry from the Alexandria database: a geometry-optimized CaSn2S5 structure (GGA-PBEsol).

```
data_CaSn2S5
_chemical_formula_sum 'Ca4 Sn8 S20'
_space_group_name_H-M_alt 'P b a m'
_space_group_IT_number 55
_space_group_name_Hall '-P 2 2ab'
_cell_length_a 9.348
_cell_length_b 10.617
_cell_length_c 7.379
_cell_angle_alpha 90.00
_cell_angle_beta 90.00
_cell_angle_gamma 90.00
loop_
_atom_site_label
_atom_site_type_symbol
_atom_site_fract_x
_atom_site_fract_y
_atom_site_fract_z
Ca1 Ca 0.119 0.171 0.000
Sn1 Sn 0.000 0.500 0.236
Sn2 Sn 0.107 0.849 0.500
S1 S 0.000 0.000 0.274
S2 S 0.127 0.710 0.226
S3 S 0.134 0.390 0.500
S4 S 0.181 0.435 0.000
```



## ii
Entry from the Alexandria database: a geometry-optimized CaSn2S5 structure (GGA-PBEsol).

```
data_CaSn2S5
_chemical_formula_sum 'Ca2 Sn4 S10'
_space_group_name_H-M_alt 'P -1'
_space_group_IT_number 2
_space_group_name_Hall '-P 1'
_cell_length_a 6.854
_cell_length_b 7.094
_cell_length_c 8.941
_cell_angle_alpha 105.02
_cell_angle_beta 103.10
_cell_angle_gamma 106.15
loop_
_atom_site_label
_atom_site_type_symbol
_atom_site_fract_x
_atom_site_fract_y
_atom_site_fract_z
Ca1 Ca 0.131 0.325 0.299
Sn1 Sn 0.192 0.329 0.759
Sn2 Sn 0.500 0.000 0.000
Sn3 Sn 0.500 0.000 0.500
S1 S 0.119 0.747 0.472
S2 S 0.165 0.092 0.907
S3 S 0.209 0.648 0.948
S4 S 0.401 0.098 0.256
S5 S 0.452 0.352 0.618
```



Q: Which of them is the least stable? A: ii.



## i
Entry from the Alexandria database: a geometry-optimized SrCaS2 structure (GGA-PBEsol).

```
data_SrCaS2
_chemical_formula_sum 'Sr3 Ca3 S6'
_space_group_name_H-M_alt 'R -3 m'
_space_group_IT_number 166
_space_group_name_Hall '-R 3 2"'
_cell_length_a 4.3101
_cell_length_b 4.3101
_cell_length_c 24.3321
_cell_angle_alpha 90.00
_cell_angle_beta 90.00
_cell_angle_gamma 120.00
loop_
_atom_site_label
_atom_site_type_symbol
_atom_site_fract_x
_atom_site_fract_y
_atom_site_fract_z
Sr1 Sr 0.0000 0.0000 0.0000
Ca1 Ca 0.0000 0.0000 0.5000
S1 S 0.0000 0.0000 0.1096
```



## ii
Entry from the Alexandria database: a geometry-optimized SrCaS2 structure (GGA-PBEsol).

```
data_SrCaS2
_chemical_formula_sum 'Sr4 Ca4 S8'
_space_group_name_H-M_alt 'F m -3 m'
_space_group_IT_number 225
_space_group_name_Hall '-F 4 2 3'
_cell_length_a 7.059
_cell_length_b 7.059
_cell_length_c 7.059
_cell_angle_alpha 90.00
_cell_angle_beta 90.00
_cell_angle_gamma 90.00
loop_
_atom_site_label
_atom_site_type_symbol
_atom_site_fract_x
_atom_site_fract_y
_atom_site_fract_z
Sr1 Sr 0.000 0.000 0.000
Ca1 Ca 0.000 0.000 0.500
S1 S 0.250 0.250 0.250
```



## iii
Entry from the Alexandria database: a geometry-optimized SrCaS2 structure (GGA-PBEsol).

```
data_SrCaS2
_chemical_formula_sum 'Sr1 Ca1 S2'
_space_group_name_H-M_alt 'P 4/m m m'
_space_group_IT_number 123
_space_group_name_Hall '-P 4 2'
_cell_length_a 4.118
_cell_length_b 4.118
_cell_length_c 5.821
_cell_angle_alpha 90.00
_cell_angle_beta 90.00
_cell_angle_gamma 90.00
loop_
_atom_site_label
_atom_site_type_symbol
_atom_site_fract_x
_atom_site_fract_y
_atom_site_fract_z
Sr1 Sr 0.000 0.000 0.000
Ca1 Ca 0.500 0.500 0.500
S1 S 0.000 0.000 0.500
S2 S 0.500 0.500 0.000
```



Q: Which of them is the least stable? A: i.